The following is a DFT calculation (PBE) of Hf4TlFeC2 after structural relaxation.

Cell lengths 3.281, 3.281, 14.129 Å; angles 90.00, 90.00, 120.00 degrees
Atoms (fractional coordinates):
Hf: 0.000 0.000 0.138
Hf: 0.000 0.000 0.862
Hf: 0.333 0.667 0.321
Hf: 0.333 0.667 0.679
Tl: 0.000 0.000 0.500
Fe: 0.333 0.667 0.000
C: 0.667 0.333 0.238
C: 0.667 0.333 0.762

Calculated values
* space group: P-6m2 (187)
* total magnetic moment: 1.4 μB per formula unit
* electronic total energy: -72.797 eV per cell
* crystal system: hexagonal


The following is a DFT calculation (PBE) of InPAuO after structural relaxation.

Cell lengths 4.396, 4.396, 8.345 Å; angles 90.00, 90.00, 90.00 degrees
Atoms (fractional coordinates):
In: 0.250 0.750 0.000
In: 0.750 0.250 0.000
P: 0.250 0.250 0.183
P: 0.750 0.750 0.817
Au: 0.250 0.250 0.536
Au: 0.750 0.750 0.464
O: 0.250 0.750 0.500
O: 0.750 0.250 0.500

Calculated values
* space group: P4/nmm (129)
* energy above the lowest structure with this stoichiometry: 14.22 kcal/mol of atoms
* electronic total energy: -30.464 eV per cell
* crystal system: tetragonal


The following is a DFT calculation (PBE) of Nb4GeC3 after structural relaxation.

Cell lengths 3.190, 3.190, 23.634 Å; angles 90.00, 90.00, 120.00 degrees
Atoms (fractional coordinates):
Nb: 0.000 0.000 0.160
Nb: 0.000 0.000 0.340
Nb: 0.000 0.000 0.660
Nb: 0.000 0.000 0.840
Nb: 0.333 0.667 0.056
Nb: 0.333 0.667 0.444
Nb: 0.667 0.333 0.556
Nb: 0.667 0.333 0.944
Ge: 0.333 0.667 0.250
Ge: 0.667 0.333 0.750
C: 0.000 0.000 0.000
C: 0.000 0.000 0.500
C: 0.333 0.667 0.611
C: 0.333 0.667 0.889
C: 0.667 0.333 0.111
C: 0.667 0.333 0.389

Calculated values
* space group: P6_3/mmc (194)
* total magnetic moment: 0.0 μB per formula unit
* electronic total energy: -153.274 eV per cell
* crystal system: hexagonal


The following is a DFT calculation (PBE) of InGeAuSe2S after structural relaxation.

Cell lengths 6.977, 6.977, 10.672 Å; angles 90.00, 90.00, 148.38 degrees
Atoms (fractional coordinates):
In: 0.174 0.826 0.750
In: 0.826 0.174 0.250
Ge: 0.500 0.500 0.000
Ge: 0.500 0.500 0.500
Au: 0.164 0.836 0.250
Au: 0.836 0.164 0.750
Se: 0.140 0.860 0.020
Se: 0.140 0.860 0.480
Se: 0.860 0.140 0.520
Se: 0.860 0.140 0.980
S: 0.466 0.534 0.250
S: 0.534 0.466 0.750

Calculated values
* space group: Cmcm (63)
* electronic total energy: -45.639 eV per cell
* crystal system: orthorhombic


The following is a DFT calculation (PBE) of Nb4AlSbN2 after structural relaxation.

Cell lengths 3.241, 3.241, 13.382 Å; angles 90.00, 90.00, 120.00 degrees
Atoms (fractional coordinates):
Nb: 0.000 0.000 0.162
Nb: 0.000 0.000 0.838
Nb: 0.667 0.333 0.331
Nb: 0.667 0.333 0.669
Al: 0.667 0.333 0.000
Sb: 0.000 0.000 0.500
N: 0.333 0.667 0.248
N: 0.333 0.667 0.752

Calculated values
* space group: P-6m2 (187)
* total magnetic moment: 0.0 μB per formula unit
* electronic total energy: -69.326 eV per cell
* crystal system: hexagonal


The following is a DFT calculation (PBE) of LiSiNiAg after structural relaxation.

Cell lengths 4.246, 4.246, 4.246 Å; angles 60.00, 60.00, 60.00 degrees
Atoms (fractional coordinates):
Li: 0.000 0.000 0.000
Si: 0.750 0.750 0.750
Ni: 0.250 0.250 0.250
Ag: 0.500 0.500 0.500

Calculated values
* space group: F-43m (216)
* total magnetic moment: 0.0 μB per formula unit
* energy above the lowest structure with this stoichiometry: 5.55 kcal/mol of atoms
* electronic total energy: -15.562 eV per cell
* crystal system: cubic


The following is a DFT calculation (PBE) of Pm4Ge2As after structural relaxation.

Cell lengths 7.843, 7.843, 7.843 Å; angles 109.41, 109.41, 109.60 degrees
Atoms (fractional coordinates):
Pm: 0.124 0.242 0.748
Pm: 0.126 0.744 0.752
Pm: 0.256 0.008 0.382
Pm: 0.494 0.376 0.252
Pm: 0.624 0.876 0.118
Pm: 0.626 0.874 0.618
Pm: 0.758 0.506 0.882
Pm: 0.992 0.374 0.248
Ge: 0.249 0.625 0.124
Ge: 0.375 0.499 0.624
Ge: 0.501 0.125 0.876
Ge: 0.875 0.751 0.376
As: 0.000 0.000 0.000
As: 0.750 0.250 0.500

Calculated values
* space group: I-42d (122)
* total magnetic moment: 0.2 μB per formula unit
* electronic total energy: -79.545 eV per cell
* crystal system: tetragonal


The following is a DFT calculation (PBE) of Cu2Ag3 after structural relaxation.

Cell lengths 22.196, 22.196, 22.196 Å; angles 7.36, 7.36, 7.36 degrees
Atoms (fractional coordinates):
Cu: 0.098 0.098 0.098
Cu: 0.301 0.301 0.301
Cu: 0.699 0.699 0.699
Cu: 0.902 0.902 0.902
Ag: 0.000 0.000 0.000
Ag: 0.203 0.203 0.203
Ag: 0.399 0.399 0.399
Ag: 0.500 0.500 0.500
Ag: 0.601 0.601 0.601
Ag: 0.797 0.797 0.797

Calculated values
* space group: R-3m (166)
* ΔH_f (0 K): 0.10 eV per atom
* energy above the lowest structure with this stoichiometry: 1.64 kcal/mol of atoms
* electronic total energy: -30.778 eV per cell
* crystal system: trigonal


The following is a DFT calculation (PBE) of TaIrNO after structural relaxation.

Cell lengths 5.462, 7.308, 4.946 Å; angles 90.00, 90.00, 90.00 degrees
Atoms (fractional coordinates):
Ta: 0.094 0.183 0.000
Ta: 0.406 0.183 0.500
Ta: 0.594 0.817 0.000
Ta: 0.906 0.817 0.500
Ir: 0.006 0.586 0.027
Ir: 0.494 0.586 0.527
Ir: 0.506 0.414 0.027
Ir: 0.994 0.414 0.527
N: 0.155 0.651 0.662
N: 0.345 0.651 0.162
N: 0.655 0.349 0.662
N: 0.845 0.349 0.162
O: 0.132 0.016 0.678
O: 0.368 0.016 0.178
O: 0.632 0.984 0.678
O: 0.868 0.984 0.178

Calculated values
* space group: Pca2_1 (29)
* total magnetic moment: 0.0 μB per formula unit
* energy above the lowest structure with this stoichiometry: 6.00 kcal/mol of atoms
* electronic total energy: -148.000 eV per cell
* crystal system: orthorhombic


The following is a DFT calculation (PBE) of LuZnPd after structural relaxation.

Cell lengths 7.143, 7.143, 3.832 Å; angles 90.00, 90.00, 120.00 degrees
Atoms (fractional coordinates):
Lu: 0.000 0.594 0.000
Lu: 0.406 0.406 0.000
Lu: 0.594 0.000 0.000
Zn: 0.000 0.253 0.500
Zn: 0.253 0.000 0.500
Zn: 0.747 0.747 0.500
Pd: 0.000 0.000 0.000
Pd: 0.333 0.667 0.500
Pd: 0.667 0.333 0.500

Calculated values
* space group: P-62m (189)
* total magnetic moment: 0.0 μB per formula unit
* ΔH_f (0 K): -0.77 eV per atom
* energy above the lowest structure with this stoichiometry: 0.00 kcal/mol of atoms
* electronic total energy: -39.786 eV per cell
* crystal system: hexagonal


The following is a DFT calculation (PBE) of HfGeO3 after structural relaxation.

Cell lengths 5.756, 7.860, 5.421 Å; angles 90.00, 90.00, 90.00 degrees
Atoms (fractional coordinates):
Hf: 0.000 0.000 0.000
Hf: 0.000 0.500 0.000
Hf: 0.500 0.000 0.500
Hf: 0.500 0.500 0.500
Ge: 0.022 0.250 0.488
Ge: 0.478 0.750 0.988
Ge: 0.522 0.250 0.012
Ge: 0.978 0.750 0.512
O: 0.023 0.750 0.129
O: 0.188 0.558 0.676
O: 0.188 0.942 0.676
O: 0.312 0.058 0.176
O: 0.312 0.442 0.176
O: 0.477 0.250 0.629
O: 0.523 0.750 0.371
O: 0.688 0.558 0.824
O: 0.688 0.942 0.824
O: 0.812 0.058 0.324
O: 0.812 0.442 0.324
O: 0.977 0.250 0.871

Calculated values
* space group: Pnma (62)
* total magnetic moment: 0.0 μB per formula unit
* electronic total energy: -165.793 eV per cell
* crystal system: orthorhombic


The following is a DFT calculation (PBE) of Y2CoH6Pd after structural relaxation.

Cell lengths 5.091, 5.091, 5.091 Å; angles 60.00, 60.00, 60.00 degrees
Atoms (fractional coordinates):
Y: 0.250 0.250 0.250
Y: 0.750 0.750 0.750
Co: 0.000 0.000 0.000
H: 0.231 0.231 0.769
H: 0.231 0.769 0.231
H: 0.231 0.769 0.769
H: 0.769 0.231 0.231
H: 0.769 0.231 0.769
H: 0.769 0.769 0.231
Pd: 0.500 0.500 0.500

Calculated values
* space group: Fm-3m (225)
* total magnetic moment: 0.7 μB per formula unit
* electronic total energy: -50.238 eV per cell
* crystal system: cubic


The following is a DFT calculation (PBE) of TmIrW after structural relaxation.

Cell lengths 4.514, 4.514, 4.514 Å; angles 60.00, 60.00, 60.00 degrees
Atoms (fractional coordinates):
Tm: 0.000 0.000 0.000
Ir: 0.750 0.750 0.750
W: 0.250 0.250 0.250

Calculated values
* space group: F-43m (216)
* total magnetic moment: 2.4 μB per formula unit
* ΔH_f (0 K): 1.28 eV per atom
* energy above the lowest structure with this stoichiometry: 19.59 kcal/mol of atoms
* electronic total energy: -22.450 eV per cell
* crystal system: cubic


The following is a DFT calculation (PBE) of NdNpBi after structural relaxation.

Cell lengths 5.342, 5.342, 5.342 Å; angles 60.00, 60.00, 60.00 degrees
Atoms (fractional coordinates):
Nd: 0.000 0.000 0.000
Np: 0.750 0.750 0.750
Bi: 0.250 0.250 0.250

Calculated values
* space group: F-43m (216)
* total magnetic moment: 6.7 μB per formula unit
* electronic total energy: -20.004 eV per cell
* crystal system: cubic


The following is a DFT calculation (PBE) of Ac2ZnSi after structural relaxation.

Cell lengths 6.370, 4.279, 9.163 Å; angles 90.00, 109.10, 90.00 degrees
Atoms (fractional coordinates):
Ac: 0.209 0.250 0.419
Ac: 0.285 0.750 0.062
Ac: 0.715 0.250 0.938
Ac: 0.791 0.750 0.581
Zn: 0.173 0.250 0.774
Zn: 0.827 0.750 0.226
Si: 0.358 0.750 0.709
Si: 0.642 0.250 0.291

Calculated values
* space group: P2_1/m (11)
* total magnetic moment: 0.0 μB per formula unit
* electronic total energy: -33.251 eV per cell
* crystal system: monoclinic


The following is a DFT calculation (PBE) of Sm2Dy2CIBr2Cl2 after structural relaxation.

Cell lengths 9.148, 9.148, 8.448 Å; angles 104.45, 104.45, 24.39 degrees
Atoms (fractional coordinates):
Sm: 0.143 0.143 0.082
Sm: 0.857 0.857 0.918
Dy: 0.500 0.500 0.193
Dy: 0.500 0.500 0.807
C: 0.000 0.000 0.000
I: 0.000 0.000 0.500
Br: 0.332 0.332 0.166
Br: 0.668 0.668 0.834
Cl: 0.342 0.342 0.674
Cl: 0.658 0.658 0.326

Calculated values
* space group: C2/m (12)
* total magnetic moment: 0.4 μB per formula unit
* energy above the lowest structure with this stoichiometry: 0.08 kcal/mol of atoms
* electronic total energy: -51.187 eV per cell
* crystal system: monoclinic


The following is a DFT calculation (PBE) of BiAsOsO after structural relaxation.

Cell lengths 4.100, 4.100, 8.504 Å; angles 90.00, 90.00, 90.00 degrees
Atoms (fractional coordinates):
Bi: 0.250 0.250 0.141
Bi: 0.750 0.750 0.859
As: 0.250 0.250 0.660
As: 0.750 0.750 0.340
Os: 0.250 0.750 0.500
Os: 0.750 0.250 0.500
O: 0.250 0.750 0.000
O: 0.750 0.250 0.000

Calculated values
* space group: P4/nmm (129)
* total magnetic moment: 0.0 μB per formula unit
* energy above the lowest structure with this stoichiometry: 0.00 kcal/mol of atoms
* electronic total energy: -52.527 eV per cell
* crystal system: tetragonal


The following is a DFT calculation (PBE) of HfPbW2 after structural relaxation.

Cell lengths 4.755, 4.755, 4.755 Å; angles 60.00, 60.00, 60.00 degrees
Atoms (fractional coordinates):
Hf: 0.000 0.000 0.000
Pb: 0.750 0.750 0.750
W: 0.250 0.250 0.250
W: 0.500 0.500 0.500

Calculated values
* space group: F-43m (216)
* total magnetic moment: 0.1 μB per formula unit
* electronic total energy: -37.033 eV per cell
* crystal system: cubic


The following is a DFT calculation (PBE) of Na2NbCdSe4 after structural relaxation.

Cell lengths 7.083, 7.083, 6.805 Å; angles 118.69, 118.69, 94.41 degrees
Atoms (fractional coordinates):
Na: 0.000 0.000 0.000
Na: 0.751 0.249 0.500
Nb: 0.500 0.500 0.000
Cd: 0.250 0.750 0.500
Se: 0.170 0.413 0.023
Se: 0.391 0.147 0.560
Se: 0.587 0.830 0.977
Se: 0.853 0.609 0.440

Calculated values
* space group: C2 (5)
* total magnetic moment: 1.0 μB per formula unit
* electronic total energy: -33.569 eV per cell
* crystal system: monoclinic


The following is a DFT calculation (PBE) of KBPt after structural relaxation.

Cell lengths 6.268, 6.268, 4.003 Å; angles 90.00, 90.00, 90.00 degrees
Atoms (fractional coordinates):
K: 0.250 0.750 0.000
K: 0.750 0.250 0.000
B: 0.250 0.250 0.177
B: 0.750 0.750 0.823
Pt: 0.250 0.250 0.678
Pt: 0.750 0.750 0.322

Calculated values
* space group: P4/nmm (129)
* total magnetic moment: 0.0 μB per formula unit
* energy above the lowest structure with this stoichiometry: 0.00 kcal/mol of atoms
* electronic total energy: -25.530 eV per cell
* crystal system: tetragonal


The following is a DFT calculation (PBE) of TbUSn after structural relaxation.

Cell lengths 5.167, 5.167, 5.167 Å; angles 60.00, 60.00, 60.00 degrees
Atoms (fractional coordinates):
Tb: 0.000 0.000 0.000
U: 0.750 0.750 0.750
Sn: 0.500 0.500 0.500

Calculated values
* space group: F-43m (216)
* total magnetic moment: 4.8 μB per formula unit
* electronic total energy: -17.729 eV per cell
* crystal system: cubic


The following is a DFT calculation (PBE) of Nd3Se2NO after structural relaxation.

Cell lengths 8.249, 8.249, 10.043 Å; angles 97.13, 97.13, 28.47 degrees
Atoms (fractional coordinates):
Nd: 0.045 0.045 0.264
Nd: 0.198 0.198 0.673
Nd: 0.390 0.390 0.053
Nd: 0.610 0.610 0.947
Nd: 0.802 0.802 0.327
Nd: 0.955 0.955 0.736
Se: 0.212 0.212 0.150
Se: 0.372 0.372 0.526
Se: 0.628 0.628 0.474
Se: 0.788 0.788 0.850
N: 0.098 0.098 0.812
N: 0.902 0.902 0.188
O: 0.464 0.464 0.859
O: 0.536 0.536 0.141

Calculated values
* space group: C2/m (12)
* total magnetic moment: 0.0 μB per formula unit
* electronic total energy: -99.744 eV per cell
* crystal system: monoclinic


The following is a DFT calculation (PBE) of PmTlAu after structural relaxation.

Cell lengths 4.900, 4.900, 4.900 Å; angles 60.00, 60.00, 60.00 degrees
Atoms (fractional coordinates):
Pm: 0.000 0.000 0.000
Tl: 0.500 0.500 0.500
Au: 0.250 0.250 0.250

Calculated values
* space group: F-43m (216)
* total magnetic moment: 0.0 μB per formula unit
* energy above the lowest structure with this stoichiometry: 2.08 kcal/mol of atoms
* electronic total energy: -11.940 eV per cell
* crystal system: cubic